(1)
12
Lattice="-3.0693 -8.0872 4.1263 -0.5323 -9.4759 1.3316 6.3258 2.1095 4.6944" Properties=species:S:1:pos:R:3 comment="NaTmZnSe3 GGA-PBE relaxed" magmom_total_mub_per_atom=0.0005 spacegroup="No. 12" vol_a3_per_cell=300 de_polymorph_ev_per_atom=0.104 pbc="T T T"
Na 0.0084 -2.0284 1.0156
Na 2.7158 -13.4252 9.1367
Se -1.8008 -8.7815 2.7289
Se -0.0508 -5.4537 2.6639
Se -0.2448 -11.1100 5.2985
Se 3.1629 1.0547 2.3472
Se 2.9690 -4.3436 4.8537
Se 2.7750 -9.9999 7.4883
Tm -0.3330 -13.6247 6.4681
Tm 3.0571 -1.8289 3.6841
Zn 0.0430 -7.6033 3.8173
Zn 2.6811 -7.8503 6.3350



(2)
12
Lattice="6.8587 -2.0093 0.0000 6.8587 2.0093 0.0000 0.0000 0.0000 10.8142" Properties=species:S:1:pos:R:3 comment="NaTmZnSe3 GGA-PBE relaxed" magmom_total_mub_per_atom=0.0013 spacegroup="No. 63" vol_a3_per_cell=298 de_polymorph_ev_per_atom=0.000 pbc="T T T"
Na 10.3782 0.0000 2.7035
Na 3.3391 0.0000 8.1107
Se 4.9985 0.0000 0.7188
Se 1.0949 0.0000 2.7035
Se 4.9985 0.0000 4.6883
Se 8.7189 0.0000 6.1259
Se 12.6224 0.0000 8.1107
Se 8.7189 0.0000 10.0954
Tm 0.0000 0.0000 0.0000
Tm 0.0000 0.0000 5.4071
Zn 6.4166 0.0000 2.7035
Zn 7.3007 0.0000 8.1107



(3)
24
Lattice="10.8461 0.0000 0.0000 0.0000 4.0279 0.0000 0.0000 0.0000 13.5534" Properties=species:S:1:pos:R:3 comment="NaTmZnSe3 GGA-PBE relaxed" magmom_total_mub_per_atom=0.0007 spacegroup="No. 62" vol_a3_per_cell=592 de_polymorph_ev_per_atom=0.001 pbc="T T T"
Na 8.4813 2.0140 0.0754
Na 3.0583 2.0140 6.7013
Na 7.7879 0.0000 6.8521
Na 2.3648 0.0000 13.4780
Se 6.3458 0.0000 1.4704
Se 10.3155 0.0000 1.6183
Se 2.8415 2.0140 2.2885
Se 8.2646 2.0140 4.4882
Se 4.8925 0.0000 5.1584
Se 0.9227 0.0000 5.3063
Se 9.9234 2.0140 8.2471
Se 5.9536 2.0140 8.3950
Se 2.5815 0.0000 9.0652
Se 8.0046 0.0000 11.2649
Se 0.5306 2.0140 11.9351
Se 4.5003 2.0140 12.0830
Tm 5.5788 2.0140 3.2815
Tm 0.1557 2.0140 3.4952
Tm 10.6904 0.0000 10.0582
Tm 5.2673 0.0000 10.2719
Zn 8.2724 0.0000 2.9655
Zn 2.8494 0.0000 3.8112
Zn 7.9967 2.0140 9.7422
Zn 2.5736 2.0140 10.5879



(4)
10
Lattice="-4.6962 4.6962 2.8787 4.6962 -4.6962 2.8787 4.6962 4.6962 -2.8787" Properties=species:S:1:pos:R:3 comment="Na4USe5 GGA-PBE relaxed" magmom_total_mub_per_atom=0.0000 total_energy_ry_per_atom=-0.3307 spacegroup="No. 87" vol_a3_per_cell=254 pbc="T T T"
Na -1.8718 3.7477 2.8787
Na 0.9485 2.8244 0.0000
Na 3.7477 1.8718 2.8787
Na 6.5680 0.9485 0.0000
Se 0.0000 0.0000 0.0000
Se 2.5472 -0.7924 2.8787
Se 0.7924 2.5472 2.8787
Se 3.9038 2.1490 0.0000
Se 2.1490 5.4886 0.0000
U 0.0000 0.0000 2.8787



(5)
11
Lattice="6.8971 -2.8425 0.0000 6.8971 2.8425 0.0000 -2.5724 0.0000 7.8036" Properties=species:S:1:pos:R:3 comment="Na5USe5 GGA-PBE relaxed" magmom_total_mub_per_atom=0.0911 total_energy_ry_per_atom=-0.3194 spacegroup="No. 12" vol_a3_per_cell=306 pbc="T T T"
Na 4.0042 0.0000 1.0788
Na 8.7333 0.0000 2.5311
Na -1.2862 0.0000 3.9018
Na 2.4885 0.0000 5.2725
Na 7.2175 0.0000 6.7248
Se 6.8971 0.0000 0.0000
Se 11.3947 0.0000 1.3287
Se 1.3045 0.0000 2.4388
Se 9.9172 0.0000 5.3648
Se -0.1730 0.0000 6.4749
U 0.0000 0.0000 0.0000



(6)
12
Lattice="-3.8715 -1.0789 0.5047 0.0074 -5.5232 4.5039 -0.8196 6.9008 8.4639" Properties=species:S:1:pos:R:3 comment="NaYZnSe3 GGA-PBE relaxed" magmom_total_mub_per_atom=0.0010 spacegroup="No. 63" vol_a3_per_cell=303 de_polymorph_ev_per_atom=0.000 pbc="T T T"
Na -1.1421 -1.3753 4.5531
Na -3.5416 1.6740 8.9194
Se -2.5180 -4.2159 4.1811
Se -3.7623 -0.1594 3.3080
Se -2.8136 -1.7275 7.2331
Se -1.8702 2.0262 6.2394
Se -0.9215 0.4581 10.1645
Se -2.1657 4.5146 9.2914
Y 0.0000 0.0000 0.0000
Y -0.4098 3.4504 4.2319
Zn -2.2553 -4.0245 6.6053
Zn -2.4285 4.3232 6.8672



(7)
24
Lattice="-10.2052 4.8289 8.1820 -2.7642 -1.4478 -2.5933 -0.1332 -9.6535 5.5313" Properties=species:S:1:pos:R:3 comment="NaYZnSe3 GGA-PBE relaxed" magmom_total_mub_per_atom=0.0004 spacegroup="No. 62" vol_a3_per_cell=629 de_polymorph_ev_per_atom=0.011 pbc="T T T"
Na -3.4107 0.3215 1.8690
Na -8.5633 -0.8918 8.0386
Na -4.5393 -5.3805 3.0814
Na -9.6919 -6.5938 9.2510
Se -3.1923 -1.2528 -0.6588
Se -6.7860 1.4472 4.8384
Se -5.7718 -1.7033 2.3422
Se -10.8760 0.5889 6.5032
Se -1.7205 -3.6581 2.2892
Se -8.3425 -2.2810 5.4049
Se -4.7601 -3.9913 5.7152
Se -11.3820 -2.6142 8.8308
Se -2.2265 -6.8612 4.6168
Se -7.3308 -4.5690 8.7779
Se -6.3165 -7.7195 6.2816
Se -9.9102 -5.0195 11.7788
Y -10.7217 2.8683 8.2401
Y -5.6441 -1.3604 5.1886
Y -7.4585 -4.9119 5.9314
Y -2.3809 -9.1406 2.8799
Zn -7.0667 0.3477 2.5774
Zn -12.2104 -0.2180 8.3760
Zn -0.8922 -6.0543 2.7440
Zn -6.0359 -6.6200 8.5427



(8)
12
Lattice="-1.8081 -2.7813 -7.5786 -1.2788 -3.5251 1.5988 -8.1966 4.3533 3.0424" Properties=species:S:1:pos:R:3 comment="NaYZnSe3 GGA-PBE relaxed" magmom_total_mub_per_atom=0.0004 spacegroup="No. 11" vol_a3_per_cell=319 de_polymorph_ev_per_atom=0.006 pbc="T T T"
Na -3.4394 -1.8738 -4.2841
Na -7.8441 -0.0792 1.3466
Se -2.9432 -3.1716 -1.5515
Se -3.9411 -4.5740 -5.4419
Se -4.6169 0.3786 -0.2595
Se -6.6665 -2.3317 -2.6779
Se -7.3424 2.6209 2.5045
Se -8.3403 1.2185 -1.3859
Y -1.8238 -0.7424 -0.4972
Y -9.4596 -1.2107 -2.4402
Zn -4.9746 -2.0716 -0.7510
Zn -6.3089 0.1185 -2.1864



(9)
24
Lattice="-1.6000 1.6998 3.3298 -10.0390 -3.1531 -3.2165 1.5401 -11.6911 6.6965" Properties=species:S:1:pos:R:3 comment="NaYZnSe3 GGA-PBE relaxed" magmom_total_mub_per_atom=0.0006 spacegroup="No. 2" vol_a3_per_cell=607 de_polymorph_ev_per_atom=0.001 pbc="T T T"
Na -9.0908 -1.2604 -0.0046
Na -3.3293 -5.4225 4.8913
Na -6.7704 -7.7203 1.9253
Na -1.0044 -11.8868 6.8145
Se -6.1344 -2.6588 -0.3528
Se -9.7400 -3.9683 -1.4188
Se -3.5398 -1.5291 2.8035
Se -8.3128 -4.9732 2.2632
Se -4.3247 -5.4355 1.9337
Se -0.6776 -4.4628 3.1913
Se -9.4213 -8.6814 3.6192
Se -5.7736 -7.7103 4.8763
Se -1.7861 -8.1714 4.5428
Se -6.5607 -11.6140 4.0086
Se -0.3603 -9.1763 8.2260
Se -3.9634 -10.4853 7.1614
Y -5.9767 -3.1420 2.4518
Y -0.9265 -1.8119 4.2021
Y -9.1745 -11.3328 2.6080
Y -4.1209 -10.0043 4.3565
Zn -7.7081 -4.5181 -0.1617
Zn -2.5922 -3.6956 1.8817
Zn -7.5063 -9.4442 4.9308
Zn -2.3919 -8.6282 6.9670



(10)
24
Lattice="-1.5668 1.5148 7.9930 -3.8195 -1.6096 -0.4437 5.8369 -14.9472 3.9769" Properties=species:S:1:pos:R:3 comment="NaYZnSe3 GGA-PBE relaxed" magmom_total_mub_per_atom=0.0002 spacegroup="No. 62" vol_a3_per_cell=571 de_polymorph_ev_per_atom=0.095 pbc="T T T"
Na -0.5518 -2.8500 5.2981
Na 0.5681 -4.4690 1.5309
Na -0.1175 -10.5731 9.9953
Na 1.0024 -12.1920 6.2280
Se -3.5132 -1.1106 4.9003
Se -0.4578 -1.6752 0.2277
Se -2.0858 -3.9547 2.9302
Se -2.4534 -4.2622 7.2100
Se 0.6831 -5.8457 5.5356
Se -0.4769 -7.6372 2.4388
Se 0.9275 -7.4048 9.0873
Se -0.2324 -9.1963 5.9905
Se 2.9040 -10.7798 4.3161
Se 2.5364 -11.0873 8.5959
Se 2.4753 -14.8815 3.3054
Se 3.9638 -13.9315 6.6258
Y -3.0017 -1.5069 1.9344
Y -1.4089 -6.8344 7.5499
Y 1.8595 -8.2076 3.9763
Y 3.4523 -13.5352 9.5917
Zn -3.3835 -2.0556 7.2121
Zn -1.3755 -5.9488 4.0499
Zn 1.8262 -9.0933 7.4762
Zn 3.8341 -12.9864 4.3141



(11)
12
Lattice="-8.6244 -2.6147 3.4612 -7.3316 -6.0391 1.7246 5.0295 -1.3050 6.3176" Properties=species:S:1:pos:R:3 comment="NaYZnSe3 GGA-PBE relaxed" magmom_total_mub_per_atom=0.0002 spacegroup="No. 12" vol_a3_per_cell=304 de_polymorph_ev_per_atom=0.106 pbc="T T T"
Na -11.8451 -8.1427 7.2384
Na 0.9185 -1.8161 4.2650
Se 0.0000 0.0000 0.0000
Se -4.4486 -3.0351 2.6732
Se -9.0079 -6.1985 5.5168
Se -5.4633 -4.9794 5.7517
Se -1.9186 -3.7603 5.9867
Se -6.4779 -6.9237 8.8302
Y -2.3498 -1.6229 1.4509
Y -8.5767 -8.3359 10.0525
Zn -7.3799 -4.9248 4.2171
Zn -3.5466 -5.0341 7.2864



(12)
24
Lattice="10.9652 0.0000 0.0000 0.0000 4.0582 0.0000 0.0000 0.0000 13.6521" Properties=species:S:1:pos:R:3 comment="NaYZnSe3 GGA-PBE relaxed" magmom_total_mub_per_atom=0.0006 spacegroup="No. 62" vol_a3_per_cell=608 de_polymorph_ev_per_atom=0.000 pbc="T T T"
Na 7.8743 3.0437 0.0743
Na 2.3917 3.0437 6.7517
Na 8.5735 1.0146 6.9004
Na 3.0909 1.0146 13.5778
Se 9.9807 1.0146 1.4699
Se 6.0226 1.0146 1.6231
Se 2.6014 3.0437 2.3135
Se 8.0840 3.0437 4.5125
Se 0.5400 1.0146 5.2030
Se 4.4981 1.0146 5.3562
Se 6.4671 3.0437 8.2959
Se 10.4253 3.0437 8.4491
Se 2.8812 1.0146 9.1396
Se 8.3638 1.0146 11.3386
Se 4.9426 3.0437 12.0291
Se 0.9845 3.0437 12.1823
Y 10.7935 3.0437 3.2989
Y 5.3109 3.0437 3.5271
Y 5.6543 1.0146 10.1250
Y 0.1717 1.0146 10.3532
Zn 8.0608 1.0146 2.9837
Zn 2.5782 1.0146 3.8423
Zn 8.3870 3.0437 9.8098
Zn 2.9044 3.0437 10.6684



(13)
24
Lattice="10.4320 0.0000 0.0000 0.0000 3.8396 0.0000 0.0000 0.0000 13.9404" Properties=species:S:1:pos:R:3 comment="NaZrZnSe3 GGA-PBE relaxed" magmom_total_mub_per_atom=0.1221 total_energy_ry_per_atom=-0.3373 spacegroup="No. 62" vol_a3_per_cell=558 pbc="T T T"
Na 8.0874 0.9599 0.1139
Na 2.8714 0.9599 6.8563
Na 7.5605 2.8797 7.0841
Na 2.3445 2.8797 13.8264
Se 6.0476 2.8797 1.5418
Se 10.0062 2.8797 1.6512
Se 2.7918 0.9599 2.3319
Se 8.0078 0.9599 4.6383
Se 4.7902 2.8797 5.3190
Se 0.8316 2.8797 5.4284
Se 9.6004 0.9599 8.5120
Se 5.6417 0.9599 8.6214
Se 2.4242 2.8797 9.3021
Se 7.6402 2.8797 11.6085
Se 0.4257 0.9599 12.2892
Se 4.3844 0.9599 12.3986
Zn 7.9919 2.8797 3.0372
Zn 2.7759 2.8797 3.9330
Zn 7.6560 0.9599 10.0074
Zn 2.4401 0.9599 10.9032
Zr 5.4265 0.9599 3.4160
Zr 0.2105 0.9599 3.5542
Zr 10.2214 2.8797 10.3862
Zr 5.0054 2.8797 10.5244



(14)
12
Lattice="-5.7270 3.4056 -3.0158 3.0606 -3.2673 5.7836 3.7760 9.1656 3.1797" Properties=species:S:1:pos:R:3 comment="NaZrZnSe3 GGA-PBE relaxed" magmom_total_mub_per_atom=0.1351 total_energy_ry_per_atom=-0.3374 spacegroup="No. 63" vol_a3_per_cell=283 pbc="T T T"
Na 1.7195 0.7593 4.2904
Na -0.6099 8.5447 1.6572
Se -4.3239 3.0637 -1.6469
Se -1.1142 2.9111 1.4529
Se -2.8900 6.5442 -0.4395
Se 3.9995 2.7598 6.3870
Se 2.2237 6.3929 4.4946
Se 5.4334 6.2403 7.5944
Zn -4.5076 5.4879 -1.9451
Zn 5.6172 3.8161 7.8926
Zr -1.3332 0.0692 1.3839
Zr 0.5548 4.6520 2.9738



(15)
8
Lattice="5.5366 0.0000 0.0000 0.0000 4.6254 3.7564 0.0000 -4.6254 3.7564" Properties=species:S:1:pos:R:3 comment="Na4Zn2SiSn GGA-PBE relaxed" total_energy_ry_per_atom=-0.1653 spacegroup="No. 38" vol_a3_per_cell=192 pbc="T T T"
Na 0.0000 3.0188 2.6299
Na 2.7683 2.9539 4.7970
Na 0.0000 -3.0188 2.6299
Na 2.7683 -2.9539 4.7970
Si 2.7683 0.0000 5.8191
Sn 0.0000 0.0000 1.6565
Zn 1.4117 0.0000 3.8610
Zn 4.1250 0.0000 3.8610



(16)
3
Lattice="0.0000 3.0987 3.0987 3.0987 0.0000 3.0987 3.0987 3.0987 0.0000" Properties=species:S:1:pos:R:3 comment="NaTaSi GGA-PBE relaxed" magmom_total_mub_per_atom=0.0036 spacegroup="No. 216" vol_a3_per_cell=60 de_polymorph_ev_per_atom=0.000 pbc="T T T"
Na 1.5494 1.5494 1.5494
Si 0.0000 0.0000 0.0000
Ta 4.6481 4.6481 4.6481



(17)
3
Lattice="0.0000 3.0738 3.0738 3.0738 0.0000 3.0738 3.0738 3.0738 0.0000" Properties=species:S:1:pos:R:3 comment="NaSiTc GGA-PBE relaxed" magmom_total_mub_per_atom=0.9022 spacegroup="No. 216" vol_a3_per_cell=58 de_polymorph_ev_per_atom=0.911 pbc="T T T"
Na 0.0000 0.0000 0.0000
Si 1.5369 1.5369 1.5369
Tc 4.6106 4.6106 4.6106



(18)
3
Lattice="-2.4347 2.3100 2.5466 -0.5403 4.1087 -0.7587 -3.7254 1.4183 -1.3633" Properties=species:S:1:pos:R:3 comment="NaSiTc GGA-PBE relaxed" magmom_total_mub_per_atom=0.0196 spacegroup="No. 216" vol_a3_per_cell=53 de_polymorph_ev_per_atom=0.000 pbc="T T T"
Na -1.6751 1.9592 0.1062
Si 0.0000 0.0000 0.0000
Tc -5.0253 5.8777 0.3185



(19)
8
Lattice="-3.6000 3.6000 5.1071 3.6000 -3.6000 5.1071 3.6000 3.6000 -5.1071" Properties=species:S:1:pos:R:3 comment="Na2ZnSiTe4 GGA-PBE relaxed" total_energy_ry_per_atom=-0.2380 spacegroup="No. 82" vol_a3_per_cell=265 pbc="T T T"
Na 0.0000 0.0000 0.0000
Na 3.6000 0.0000 2.5536
Si 0.0000 3.6000 2.5536
Te -1.3714 1.9027 3.8597
Te 1.9027 1.3714 6.3546
Te 1.6973 2.2286 1.2475
Te 4.9715 1.6973 -1.2475
Zn 0.0000 0.0000 5.1071